Version 1
Tb2BiH2: relaxed, PBE.

extended XYZ file:
```
10
Lattice="5.985 -0.292 -0.006 -2.305 5.531 -0.006 -1.836 -2.614 5.641" Properties=species:S:1:pos:R:3 pbc="T T T"
Tb -0.909 -0.333 4.228
Tb 2.080 -0.481 1.407
Tb -0.236 3.106 4.222
Tb 2.753 2.959 1.401
Bi 2.419 1.241 4.222
Bi -0.575 1.384 1.407
H 0.578 -1.381 2.857
H 1.263 4.002 0.030
H 1.266 4.007 2.772
H 0.581 -1.376 5.598
```

Values from the calculation:
- Spin magnetization: 0.00 μB per formula unit

---

Version 2
Tb2BiH2: relaxed, PBE.

extended XYZ file:
```
5
Lattice="3.720 0.159 -1.398 -0.686 3.653 -1.416 0.275 0.379 6.433" Properties=species:S:1:pos:R:3 pbc="T T T"
Tb 1.251 1.595 3.510
Tb 2.057 2.595 0.109
Bi 0.000 0.000 0.000
H 2.756 1.222 1.814
H 0.553 2.969 1.805
```

Values from the calculation:
- Spin magnetization: 0.00 μB per formula unit

---

Stability order, top to bottom: version 2, version 1

---

Version 1
Tc3BiH: relaxed, PBE.

extended XYZ file:
```
5
Lattice="-1.326 -1.749 -4.660 -0.012 -4.821 1.813 -4.977 0.478 1.237" Properties=species:S:1:pos:R:3 pbc="T T T"
H -3.158 -3.046 -0.805
Bi 0.000 0.000 0.000
Tc -0.006 -2.411 0.907
Tc -2.489 0.239 0.619
Tc -0.663 -0.875 -2.330
```

Values from the calculation:
- Spin magnetization: 7.02 μB per formula unit

---

Version 2
Tc3BiH: relaxed, PBE.

extended XYZ file:
```
5
Lattice="4.134 0.000 0.000 0.000 4.134 0.000 0.000 0.000 4.134" Properties=species:S:1:pos:R:3 pbc="T T T"
H 0.000 0.000 0.000
Bi 2.067 2.067 2.067
Tc 0.000 2.067 0.000
Tc 0.000 0.000 2.067
Tc 2.067 0.000 0.000
```

Values from the calculation:
- Spin magnetization: 4.06 μB per formula unit

---

Stability order, top to bottom: version 2, version 1